# Li15Zn4Cu

A relaxed Li15Zn4Cu crystal (PBE, the Alexandria database).

extended XYZ file:
```
20
Lattice="4.157 0.000 0.000 0.000 4.157 0.000 0.000 0.000 18.874" Properties=species:S:1:pos:R:3 pbc="T T T"
Li 0.000 2.078 9.437
Li 2.078 2.078 0.000
Li 0.000 2.078 5.625
Li 2.078 2.078 11.350
Li 2.078 0.000 9.437
Li 2.078 0.000 1.800
Li 2.078 2.078 3.716
Li 2.078 2.078 7.524
Li 0.000 2.078 17.074
Li 2.078 2.078 15.158
Li 2.078 0.000 5.625
Li 0.000 2.078 13.250
Li 2.078 0.000 13.250
Li 0.000 2.078 1.800
Li 2.078 0.000 17.074
Zn 0.000 0.000 11.346
Zn 0.000 0.000 7.528
Zn 0.000 0.000 15.162
Zn 0.000 0.000 3.713
Cu 0.000 0.000 0.000
```

Computed properties:
Formation energy from the elements in eV/atom: -0.07
SG: P4/mmm
Total energy in eV per atom: -1.9600